Record 1
Here is an optimized crystal structure of NaNiSeBr2 from Alexandria. Energies are from GGA-PBE.

* energy above the most stable polymorph in this dataset: 0.0 kJ/mol of atoms
* space-group type: No. 123

abc: 5.2456 5.2456 4.5827
angles: 90.00 90.00 90.00
Each line ends with the local moment (μB).
Fractional coordinates of all 5 atoms:
Na  0.5000  0.5000  0.5000  0.00
Ni  0.0000  0.0000  0.0000  0.60
Se  0.0000  0.0000  0.5000  0.48
Br  0.5000  0.0000  0.0000  0.08
Br  0.0000  0.5000  0.0000  0.08

---

Record 2
Here is an optimized crystal structure of NaNiSeBr2 from Alexandria. Energies are from GGA-PBE.

* energy above the most stable polymorph in this dataset: 97.3 kJ/mol of atoms
* space-group type: No. 123

abc: 5.3206 5.3206 5.3783
angles: 90.00 90.00 90.00
Each line ends with the local moment (μB).
Fractional coordinates of all 5 atoms:
Ni  0.5000  0.5000  0.5000  1.08
Se  0.0000  0.0000  0.5000  0.84
Na  0.0000  0.0000  0.0000  0.00
Br  0.5000  0.0000  0.0000  0.23
Br  0.0000  0.5000  0.0000  0.23

---

Record 3
Here is an optimized crystal structure of NaNiSe2Br from Alexandria. Energies are from GGA-PBE.

* energy above the most stable polymorph in this dataset: 110.0 kJ/mol of atoms
* space-group type: No. 123

abc: 5.1881 5.1881 5.2701
angles: 90.00 90.00 90.00
Each line ends with the local moment (μB).
Fractional coordinates of all 5 atoms:
Se  0.0000  0.5000  0.0000  0.54
Se  0.5000  0.0000  0.0000  0.54
Na  0.0000  0.0000  0.0000  0.00
Ni  0.5000  0.5000  0.5000  1.07
Br  0.0000  0.0000  0.5000  0.28

---

Record 4
Here is an optimized crystal structure of NaTl2NiBr6 from Alexandria. Energies are from GGA-PBE.

* space-group type: No. 14

abc: 7.2690 7.9630 10.6842
angles: 90.00 89.24 90.00
Each line ends with the local moment (μB).
Fractional coordinates of all 20 atoms:
Ni  0.5000  0.0000  0.5000  0.66
Ni  0.0000  0.5000  0.0000  0.66
Br  0.9247  0.5064  0.2210  0.00
Br  0.2752  0.6625  0.0348  0.00
Br  0.3114  0.7146  0.4641  0.10
Br  0.2248  0.1625  0.4652  0.00
Br  0.6886  0.2854  0.5359  0.10
Br  0.0753  0.4936  0.7790  0.00
Br  0.4247  0.9936  0.7210  0.00
Br  0.5753  0.0064  0.2790  0.00
Br  0.1886  0.2146  0.0359  0.10
Br  0.8114  0.7854  0.9641  0.10
Br  0.7752  0.8375  0.5348  0.00
Br  0.7248  0.3375  0.9652  0.00
Tl  0.9702  0.0792  0.7592  0.00
Tl  0.5298  0.5792  0.7408  0.00
Tl  0.0298  0.9208  0.2408  0.00
Tl  0.4702  0.4208  0.2592  0.00
Na  0.5000  0.0000  0.0000  0.01
Na  0.0000  0.5000  0.5000  0.01

---

Record 5
Here is an optimized crystal structure of Na3Tl3NiBr8 from Alexandria. Energies are from GGA-PBE.

* space-group type: No. 166

abc: 8.6438 8.6489 9.1983
angles: 118.08 90.00 119.98
Each line ends with the local moment (μB).
Fractional coordinates of all 15 atoms:
Br  0.2085  0.9827  0.6909  0.08
Br  0.7384  0.4767  0.7147  0.00
Br  0.7916  0.5832  0.3091  0.08
Br  0.7915  0.0173  0.3091  0.08
Br  0.2616  0.5233  0.2853  0.00
Br  0.7743  0.9827  0.6909  0.08
Br  0.2084  0.4168  0.6909  0.08
Br  0.2257  0.0173  0.3091  0.08
Ni  0.0000  0.0000  0.5000  1.45
Na  0.5000  0.0000  0.5000  0.00
Na  0.5000  0.5000  0.5000  0.00
Na  0.0000  0.5000  0.5000  0.00
Tl  0.0000  0.5000  0.0000  0.00
Tl  0.0000  0.0000  0.0000  0.00
Tl  0.5000  0.5000  0.0000  0.00

---

Record 6
Here is an optimized crystal structure of NaTlNiBr4 from Alexandria. Energies are from GGA-PBE.

* space-group type: No. 11

abc: 6.7843 7.4340 9.1653
angles: 90.00 107.62 90.00
Each line ends with the local moment (μB).
Fractional coordinates of all 14 atoms:
Tl  0.2320  0.2500  0.0558  0.01
Tl  0.7680  0.7500  0.9442  0.01
Br  0.6228  0.2500  0.8920  0.09
Br  0.5708  0.2500  0.4150  0.09
Br  0.0028  0.5063  0.2761  0.12
Br  0.4292  0.7500  0.5850  0.09
Br  0.9972  0.0063  0.7239  0.12
Br  0.9972  0.4937  0.7239  0.12
Br  0.3772  0.7500  0.1080  0.09
Br  0.0028  0.9937  0.2761  0.12
Ni  0.2463  0.7500  0.3203  1.35
Ni  0.7537  0.2500  0.6797  1.35
Na  0.2100  0.2500  0.5447  0.00
Na  0.7900  0.7500  0.4553  0.00

---

Record 7
Here is an optimized crystal structure of Na2NpBr8 from Alexandria. Energies are from GGA-PBE.

* energy above the most stable polymorph in this dataset: 13.6 kJ/mol of atoms
* space-group type: No. 12

abc: 5.0815 7.3578 11.5197
angles: 112.23 102.74 90.00
Each line ends with the local moment (μB).
Fractional coordinates of all 11 atoms:
Br  0.2382  0.2553  0.4765  -0.09
Br  0.0157  0.8040  0.0313  -0.18
Br  0.3850  0.0395  0.7700  -0.22
Br  0.4160  0.6105  0.8321  -0.15
Br  0.6150  0.9605  0.2300  -0.22
Br  0.7618  0.7447  0.5235  -0.09
Br  0.5840  0.3895  0.1679  -0.15
Br  0.9843  0.1960  0.9687  -0.18
Np  0.5000  0.0000  0.0000  2.71
Na  0.2070  0.6016  0.4139  0.00
Na  0.7930  0.3984  0.5861  0.00

---

Record 8
Here is an optimized crystal structure of NaNpBr4 from Alexandria. Energies are from GGA-PBE.

* space-group type: No. 74

abc: 8.5763 8.6973 8.6976
angles: 120.00 119.54 90.00
Each line ends with the local moment (μB).
Fractional coordinates of all 12 atoms:
Br  0.2696  0.7495  0.9991  -0.03
Br  0.2706  0.2505  0.0009  -0.03
Br  0.7304  0.2505  0.0009  -0.03
Br  0.7294  0.7495  0.9991  -0.03
Br  0.7298  0.2143  0.4595  -0.02
Br  0.2702  0.2548  0.5405  -0.02
Br  0.2702  0.7857  0.5405  -0.02
Br  0.7298  0.7452  0.4595  -0.02
Np  0.5000  0.0000  0.0000  3.98
Np  0.5000  0.5000  0.0000  3.98
Na  0.5000  0.0000  0.5000  0.00
Na  0.0000  0.0000  0.5000  0.00

---

What did we get for formation energy from raw total energies? Answer: -0.4375 0.5705 0.8610 -0.7086 -1.0007 -0.7635 -0.9656 -1.3925 eV/atom, in the order shown.